1.
Compound: HfRuAu2
Source: the Alexandria database
Functional: PBE
Structure: relaxed Values from VASP.

```
&SYSTEM
  ibrav = 0, nat = 8, ntyp = 3
/
ATOMIC_SPECIES
Ru 101.07 Ru.upf
Hf 178.49 Hf.upf
Au 196.97 Au.upf
CELL_PARAMETERS angstrom
-3.807 0.271 -0.405
-0.444 -0.617 3.762
-1.598 9.755 3.370
ATOMIC_POSITIONS crystal
Ru 0.500 0.500 0.000
Hf 0.000 0.000 0.000
Au 0.375 0.381 0.750
Au 0.131 0.625 0.250
Au 0.619 0.125 0.250
Au 0.875 0.869 0.750
Ru 0.250 0.750 0.500
Hf 0.750 0.250 0.500
```

Output
- V: 18.57 Å³/atom
- SG: I-42d, No. 122
- Offset from the most stable computed form: 75 meV per atom
- Total magnetization: 0.000 Bohr magnetons per cell
- Raw total energy: -51.77 eV for the cell shown
- Formation enthalpy at 0 K: -0.0250 eV per atom

---

2.
Compound: FeBrCl4
Source: the Alexandria database
Functional: PBE
Structure: relaxed Values from VASP.

```
&SYSTEM
  ibrav = 0, nat = 6, ntyp = 3
/
ATOMIC_SPECIES
Cl 35.45 Cl.upf
Fe 55.84 Fe.upf
Br 79.90 Br.upf
CELL_PARAMETERS angstrom
1.199 -2.887 4.264
6.996 -2.821 -1.214
6.277 1.507 4.027
ATOMIC_POSITIONS crystal
Cl 0.033 0.185 0.090
Cl 0.924 0.743 0.028
Fe 0.068 0.642 0.304
Cl 0.722 0.624 0.627
Br 0.415 0.966 0.084
Cl 0.328 0.356 0.375
```

Output
- V: 35.40 Å³/atom
- SG: P1, No. 1
- Formation energy without anion corrections: -10.42 kcal/mol of atoms
- Offset from the most stable computed form: 0 meV per atom
- Total magnetization: 4.999 Bohr magnetons per cell
- Raw total energy: -20.23 eV for the cell shown

---

3.
Compound: LaTmTe2O
Source: the Alexandria database
Functional: PBE
Structure: relaxed Values from VASP.

```
&SYSTEM
  ibrav = 0, nat = 10, ntyp = 4
/
ATOMIC_SPECIES
Tm 168.93 Tm.upf
Te 127.60 Te.upf
La 138.91 La.upf
O 16.00 O.upf
CELL_PARAMETERS angstrom
4.247 0.000 0.000
0.000 4.247 0.000
0.000 0.000 15.589
ATOMIC_POSITIONS crystal
Tm 0.000 0.500 0.876
Te 0.500 0.000 0.305
Te 0.000 0.500 0.695
La 0.500 0.000 0.574
O 0.500 0.500 0.500
La 0.000 0.500 0.426
Tm 0.500 0.000 0.124
Te 0.000 0.500 0.086
Te 0.500 0.000 0.914
O 0.000 0.000 0.500
```

Output
- V: 28.12 Å³/atom
- SG: P4/nmm, No. 129
- Formation energy without anion corrections: -48.98 kcal/mol of atoms
- Total magnetization: 0.000 Bohr magnetons per cell
- Raw total energy: -62.52 eV for the cell shown

---

4.
Compound: Ca3In4Au4
Source: the Alexandria database
Functional: PBE
Structure: relaxed Values from VASP.

```
&SYSTEM
  ibrav = 0, nat = 11, ntyp = 3
/
ATOMIC_SPECIES
Au 196.97 Au.upf
Ca 40.08 Ca.upf
In 114.82 In.upf
CELL_PARAMETERS angstrom
-0.468 -4.418 -0.149
2.489 -0.515 7.452
-8.275 3.152 -1.178
ATOMIC_POSITIONS crystal
Au 0.500 0.813 0.000
Ca 0.120 0.120 0.241
Ca 0.880 0.880 0.759
In 0.329 0.528 0.658
Ca 0.000 0.500 0.000
Au 0.221 0.721 0.443
In 0.329 0.130 0.658
In 0.671 0.870 0.342
In 0.671 0.472 0.342
Au 0.500 0.187 0.000
Au 0.779 0.279 0.557
```

Output
- V: 24.51 Å³/atom
- SG: Immm, No. 71
- Total magnetization: 0.000 Bohr magnetons per cell
- Raw total energy: -36.58 eV for the cell shown
- Formation enthalpy at 0 K: -0.5918 eV per atom

---

5.
Compound: SmCdAgIr
Source: the Alexandria database
Functional: PBE
Structure: relaxed Values from VASP.

```
&SYSTEM
  ibrav = 0, nat = 4, ntyp = 4
/
ATOMIC_SPECIES
Cd 112.41 Cd.upf
Sm 150.36 Sm.upf
Ag 107.87 Ag.upf
Ir 192.22 Ir.upf
CELL_PARAMETERS angstrom
4.890 0.000 0.000
2.445 4.235 0.000
2.445 1.412 3.993
ATOMIC_POSITIONS crystal
Cd 0.750 0.750 0.750
Sm 0.250 0.250 0.250
Ag 0.000 0.000 0.000
Ir 0.500 0.500 0.500
```

Output
- V: 20.67 Å³/atom
- SG: F-43m, No. 216
- Total magnetization: 0.000 Bohr magnetons per cell
- Raw total energy: -18.35 eV for the cell shown
- Formation enthalpy at 0 K: -0.2513 eV per atom

---

6.
Compound: BeRuO2
Source: the Alexandria database
Functional: PBE
Structure: relaxed Values from VASP.

```
&SYSTEM
  ibrav = 0, nat = 4, ntyp = 3
/
ATOMIC_SPECIES
O 16.00 O.upf
Be 9.01 Be.upf
Ru 101.07 Ru.upf
CELL_PARAMETERS angstrom
-0.345 -3.615 -0.590
1.594 -2.398 2.290
-2.068 -2.042 2.256
ATOMIC_POSITIONS crystal
O 0.250 0.250 0.250
Be 0.000 0.000 0.000
Ru 0.500 0.500 0.500
O 0.750 0.750 0.750
```

Output
- V: 8.80 Å³/atom
- SG: Fm-3m, No. 225
- Formation energy without anion corrections: -5.39 kcal/mol of atoms
- Offset from the most stable computed form: 1069 meV per atom
- Total magnetization: 0.000 Bohr magnetons per cell
- Raw total energy: -23.85 eV for the cell shown

---

7.
Compound: ScCu2Re
Source: the Alexandria database
Functional: PBE
Structure: relaxed Values from VASP.

```
&SYSTEM
  ibrav = 0, nat = 4, ntyp = 3
/
ATOMIC_SPECIES
Sc 44.96 Sc.upf
Re 186.21 Re.upf
Cu 63.55 Cu.upf
CELL_PARAMETERS angstrom
3.785 0.000 0.000
0.000 2.843 0.031
0.000 2.754 5.545
ATOMIC_POSITIONS crystal
Sc 0.500 0.750 0.750
Re 0.500 0.250 0.250
Cu 0.000 0.979 0.022
Cu 0.000 0.521 0.478
```

Output
- V: 14.83 Å³/atom
- SG: P2/m, No. 10
- Offset from the most stable computed form: 29 meV per atom
- Total magnetization: 0.000 Bohr magnetons per cell
- Raw total energy: -26.48 eV for the cell shown
- Formation enthalpy at 0 K: 0.1218 eV per atom

---

8.
Compound: BaSr5
Source: the Alexandria database
Functional: PBE
Structure: relaxed Values from VASP.

```
&SYSTEM
  ibrav = 0, nat = 6, ntyp = 2
/
ATOMIC_SPECIES
Sr 87.62 Sr.upf
Ba 137.33 Ba.upf
CELL_PARAMETERS angstrom
4.297 0.000 0.000
0.000 4.297 0.000
0.000 0.000 18.178
ATOMIC_POSITIONS crystal
Sr 0.000 0.000 0.826
Sr 0.000 0.000 0.500
Ba 0.500 0.500 0.000
Sr 0.500 0.500 0.338
Sr 0.000 0.000 0.174
Sr 0.500 0.500 0.662
```

Output
- V: 55.94 Å³/atom
- SG: P4/mmm, No. 123
- Offset from the most stable computed form: 3 meV per atom
- Total magnetization: 0.000 Bohr magnetons per cell
- Raw total energy: -10.31 eV for the cell shown
- Formation enthalpy at 0 K: 0.0037 eV per atom

---

9.
Compound: Ge2BiCl
Source: the Alexandria database
Functional: PBE
Structure: relaxed Values from VASP.

```
&SYSTEM
  ibrav = 0, nat = 8, ntyp = 3
/
ATOMIC_SPECIES
Cl 35.45 Cl.upf
Ge 72.64 Ge.upf
Bi 208.98 Bi.upf
CELL_PARAMETERS angstrom
-2.064 2.747 -5.247
-0.020 -5.560 -2.903
-7.730 -2.467 -1.999
ATOMIC_POSITIONS crystal
Cl 0.500 0.500 0.000
Ge 0.375 0.403 0.750
Cl 0.250 0.750 0.500
Bi 0.000 0.000 0.000
Ge 0.153 0.625 0.250
Ge 0.597 0.125 0.250
Bi 0.750 0.250 0.500
Ge 0.875 0.847 0.750
```

Output
- V: 34.82 Å³/atom
- SG: I-42d, No. 122
- Formation energy without anion corrections: 5.24 kcal/mol of atoms
- Offset from the most stable computed form: 129 meV per atom
- Total magnetization: 0.000 Bohr magnetons per cell
- Raw total energy: -28.11 eV for the cell shown

---

10.
Compound: TiBr2Cl2
Source: the Alexandria database
Functional: PBE
Structure: relaxed Values from VASP.

```
&SYSTEM
  ibrav = 0, nat = 5, ntyp = 3
/
ATOMIC_SPECIES
Br 79.90 Br.upf
Cl 35.45 Cl.upf
Ti 47.87 Ti.upf
CELL_PARAMETERS angstrom
3.496 0.000 0.000
0.000 3.496 0.000
1.748 1.748 11.056
ATOMIC_POSITIONS crystal
Br 0.428 0.428 0.144
Cl 0.750 0.250 0.500
Cl 0.250 0.750 0.500
Ti 0.000 0.000 0.000
Br 0.572 0.572 0.856
```

Output
- V: 27.02 Å³/atom
- SG: I4/mmm, No. 139
- Formation energy without anion corrections: -5.98 kcal/mol of atoms
- Offset from the most stable computed form: 108 meV per atom
- Total magnetization: 0.720 Bohr magnetons per cell
- Raw total energy: -16.23 eV for the cell shown

---

11.
Compound: Tb3Th
Source: the Alexandria database
Functional: PBE
Structure: relaxed Values from VASP.

```
&SYSTEM
  ibrav = 0, nat = 4, ntyp = 2
/
ATOMIC_SPECIES
Tb 158.93 Tb.upf
Th 232.04 Th.upf
CELL_PARAMETERS angstrom
-2.974 1.274 -1.581
0.030 -4.481 -3.667
-3.503 -3.263 3.960
ATOMIC_POSITIONS crystal
Tb 0.000 0.500 0.330
Tb 0.500 0.000 0.503
Th 0.000 0.000 0.992
Tb 0.500 0.500 0.840
```

Output
- V: 32.38 Å³/atom
- SG: Pmm2, No. 25
- Offset from the most stable computed form: 31 meV per atom
- Total magnetization: 0.000 Bohr magnetons per cell
- Raw total energy: -21.10 eV for the cell shown
- Formation enthalpy at 0 K: 0.0532 eV per atom

---

12.
Compound: Ce3YPt4
Source: the Alexandria database
Functional: PBE
Structure: relaxed Values from VASP.

```
&SYSTEM
  ibrav = 0, nat = 16, ntyp = 3
/
ATOMIC_SPECIES
Pt 195.08 Pt.upf
Ce 140.12 Ce.upf
Y 88.91 Y.upf
CELL_PARAMETERS angstrom
7.129 0.061 0.000
-2.441 6.714 0.000
0.000 0.000 8.242
ATOMIC_POSITIONS crystal
Pt 0.000 0.252 0.125
Ce 0.750 0.000 0.373
Ce 0.750 0.500 0.124
Pt 0.500 0.748 0.125
Ce 0.250 0.500 0.373
Y 0.250 0.000 0.126
Pt 0.500 0.252 0.875
Pt 0.499 0.749 0.623
Ce 0.250 0.500 0.876
Y 0.750 0.000 0.874
Pt 0.001 0.251 0.623
Pt 0.999 0.749 0.377
Ce 0.750 0.500 0.627
Ce 0.250 0.000 0.627
Pt 0.000 0.748 0.875
Pt 0.501 0.251 0.377
```

Output
- V: 24.73 Å³/atom
- SG: P2/c, No. 13
- Total magnetization: 2.613 Bohr magnetons per cell
- Raw total energy: -114.04 eV for the cell shown
- Formation enthalpy at 0 K: -1.0742 eV per atom

---

13.
Compound: Np4UPa3P8
Source: the Alexandria database
Functional: PBE
Structure: relaxed Values from VASP.

```
&SYSTEM
  ibrav = 0, nat = 16, ntyp = 4
/
ATOMIC_SPECIES
Np 237.00 Np.upf
Pa 231.04 Pa.upf
P 30.97 P.upf
U 238.03 U.upf
CELL_PARAMETERS angstrom
-5.151 0.055 -6.053
3.474 -6.390 -3.014
-2.650 -0.079 7.473
ATOMIC_POSITIONS crystal
Np 0.000 0.000 0.500
Pa 0.500 0.500 0.500
Np 0.500 0.000 0.000
Np 0.000 0.000 0.000
P 0.752 0.750 0.000
P 0.249 0.750 0.000
P 0.751 0.250 0.503
Pa 0.000 0.500 0.500
P 0.249 0.750 0.497
P 0.250 0.249 0.500
P 0.751 0.250 0.000
Np 0.500 0.000 0.500
U 0.000 0.500 0.000
Pa 0.500 0.500 0.000
P 0.750 0.751 0.500
P 0.248 0.250 0.000
```

Output
- V: 21.90 Å³/atom
- SG: C2/m, No. 12
- Total magnetization: 1.430 Bohr magnetons per cell
- Raw total energy: -151.66 eV for the cell shown
- Formation enthalpy at 0 K: -1.0526 eV per atom

---

14.
Compound: K3Tl4Au3
Source: the Alexandria database
Functional: PBE
Structure: relaxed Values from VASP.

```
&SYSTEM
  ibrav = 0, nat = 20, ntyp = 3
/
ATOMIC_SPECIES
Au 196.97 Au.upf
Tl 204.38 Tl.upf
K 39.10 K.upf
CELL_PARAMETERS angstrom
-6.034 7.016 -1.477
-2.779 -4.999 7.423
8.537 3.510 1.617
ATOMIC_POSITIONS crystal
Au 0.125 0.750 0.375
Tl 0.500 0.330 0.500
K 0.750 0.625 0.375
Tl 0.170 0.670 0.670
K 0.625 0.750 0.875
Tl 0.670 0.170 0.170
K 0.375 0.125 0.750
Au 0.625 0.875 0.250
Au 0.750 0.125 0.875
K 0.875 0.250 0.625
Tl 0.000 0.000 0.830
K 0.250 0.875 0.125
K 0.125 0.375 0.250
Au 0.875 0.625 0.750
Au 0.250 0.375 0.625
Au 0.375 0.250 0.125
Tl 0.000 0.000 0.330
Tl 0.830 0.500 0.000
Tl 0.500 0.830 0.500
Tl 0.330 0.500 0.000
```

Output
- V: 31.68 Å³/atom
- SG: I-43d, No. 220
- Total magnetization: 0.000 Bohr magnetons per cell
- Raw total energy: -48.58 eV for the cell shown
- Formation enthalpy at 0 K: -0.1699 eV per atom

---

15.
Compound: LiScTlBi
Source: the Alexandria database
Functional: PBE
Structure: relaxed Values from VASP.

```
&SYSTEM
  ibrav = 0, nat = 4, ntyp = 4
/
ATOMIC_SPECIES
Bi 208.98 Bi.upf
Li 6.94 Li.upf
Tl 204.38 Tl.upf
Sc 44.96 Sc.upf
CELL_PARAMETERS angstrom
-4.653 1.958 -1.069
-2.965 -2.210 -3.600
-4.259 -2.565 1.383
ATOMIC_POSITIONS crystal
Bi 0.250 0.250 0.250
Li 0.000 0.000 0.000
Tl 0.750 0.750 0.750
Sc 0.500 0.500 0.500
```

Output
- V: 24.30 Å³/atom
- SG: F-43m, No. 216
- Total magnetization: 0.000 Bohr magnetons per cell
- Raw total energy: -15.58 eV for the cell shown
- Formation enthalpy at 0 K: -0.2720 eV per atom

---

16.
Compound: ThIn3
Source: the Alexandria database
Functional: PBE
Structure: relaxed Values from VASP.

```
&SYSTEM
  ibrav = 0, nat = 4, ntyp = 2
/
ATOMIC_SPECIES
In 114.82 In.upf
Th 232.04 Th.upf
CELL_PARAMETERS angstrom
-2.119 3.516 -2.045
0.367 -2.131 -4.045
-3.669 -2.973 3.834
ATOMIC_POSITIONS crystal
In 0.250 0.750 0.500
In 0.500 0.500 0.000
Th 0.000 0.000 0.000
In 0.750 0.250 0.500
```

Output
- V: 27.06 Å³/atom
- SG: I4/mmm, No. 139
- Total magnetization: 0.000 Bohr magnetons per cell
- Raw total energy: -16.62 eV for the cell shown
- Formation enthalpy at 0 K: -0.2460 eV per atom

---

17.
Compound: HgIrW2
Source: the Alexandria database
Functional: PBE
Structure: relaxed Values from VASP.

```
&SYSTEM
  ibrav = 0, nat = 4, ntyp = 3
/
ATOMIC_SPECIES
W 183.84 W.upf
Hg 200.59 Hg.upf
Ir 192.22 Ir.upf
CELL_PARAMETERS angstrom
3.938 0.000 0.000
0.000 3.941 0.000
0.000 0.000 4.249
ATOMIC_POSITIONS crystal
W 0.000 0.000 0.000
Hg 0.500 0.000 0.500
W 0.500 0.500 0.000
Ir 0.000 0.500 0.500
```

Output
- V: 16.49 Å³/atom
- SG: P4/mmm, No. 123
- Total magnetization: 0.000 Bohr magnetons per cell
- Raw total energy: -32.87 eV for the cell shown
- Formation enthalpy at 0 K: 0.5494 eV per atom

---

18.
Compound: PmMgGa2Pd
Source: the Alexandria database
Functional: PBE
Structure: relaxed Values from VASP.

```
&SYSTEM
  ibrav = 0, nat = 5, ntyp = 4
/
ATOMIC_SPECIES
Ga 69.72 Ga.upf
Pd 106.42 Pd.upf
Pm 145.00 Pm.upf
Mg 24.30 Mg.upf
CELL_PARAMETERS angstrom
4.123 0.000 0.000
0.000 4.123 0.000
-2.062 -2.062 5.901
ATOMIC_POSITIONS crystal
Ga 0.394 0.394 0.788
Pd 0.250 0.750 0.500
Pm 0.000 0.000 0.000
Ga 0.606 0.606 0.212
Mg 0.750 0.250 0.500
```

Output
- V: 20.07 Å³/atom
- SG: I-4m2, No. 119
- Total magnetization: 0.000 Bohr magnetons per cell
- Raw total energy: -20.71 eV for the cell shown
- Formation enthalpy at 0 K: -0.6245 eV per atom

---

19.
Compound: BaLaSc
Source: the Alexandria database
Functional: PBE
Structure: relaxed Values from VASP.

```
&SYSTEM
  ibrav = 0, nat = 6, ntyp = 3
/
ATOMIC_SPECIES
La 138.91 La.upf
Ba 137.33 Ba.upf
Sc 44.96 Sc.upf
CELL_PARAMETERS angstrom
-2.979 -1.752 -1.481
6.034 -2.111 -4.864
2.446 -6.683 2.989
ATOMIC_POSITIONS crystal
La 0.750 0.788 0.237
Ba 0.426 0.139 0.926
Sc 0.090 0.468 0.091
La 0.750 0.787 0.737
Sc 0.410 0.107 0.384
Ba 0.075 0.437 0.549
```

Output
- V: 36.69 Å³/atom
- SG: C2/m, No. 12
- Offset from the most stable computed form: 114 meV per atom
- Total magnetization: 0.000 Bohr magnetons per cell
- Raw total energy: -24.62 eV for the cell shown
- Formation enthalpy at 0 K: 0.2909 eV per atom

---

20.
Compound: AgPPb2
Source: the Alexandria database
Functional: PBE
Structure: relaxed Values from VASP.

```
&SYSTEM
  ibrav = 0, nat = 4, ntyp = 3
/
ATOMIC_SPECIES
Pb 207.20 Pb.upf
Ag 107.87 Ag.upf
P 30.97 P.upf
CELL_PARAMETERS angstrom
3.655 0.000 0.000
0.000 3.655 0.000
0.000 0.000 7.361
ATOMIC_POSITIONS crystal
Pb 0.500 0.500 0.311
Ag 0.000 0.000 0.537
P 0.500 0.500 0.718
Pb 0.000 0.000 0.934
```

Output
- V: 24.58 Å³/atom
- SG: P4mm, No. 99
- Total magnetization: 0.000 Bohr magnetons per cell
- Raw total energy: -14.87 eV for the cell shown
- Formation enthalpy at 0 K: 0.2018 eV per atom